(1)
Here is an optimized crystal structure of CeDy7Er2 from Alexandria. Energies are from PBE.

As for the relative energy among the computed polymorphs: 694 meV/atom. For the magnetic moment, the calculation gives 1.46 μB per formula unit. As for the calculated formation energy: 0.730 eV/atom.

It has space group Cmmm (No. 65), with a = 8.701 Å, b = 16.409 Å, c = 5.474 Å, α = 90.00°, β = 90.00° and γ = 90.00°. Symmetry generates all atoms from Ce at (0.000, 0.000, 0.000), Dy at (0.000, 0.208, 0.000), Dy at (0.000, 0.500, 0.500), Dy at (0.177, 0.113, 0.500) and Er at (0.000, 0.296, 0.500).

***

(2)
Here is an optimized crystal structure of Ce2Dy2Er7 from Alexandria. Energies are from PBE.

For the magnetic moment, the calculation gives 0.01 μB per formula unit. As for the calculated formation energy: 0.208 eV/atom.

It has space group C2/m (No. 12), with a = 10.961 Å, b = 11.493 Å, c = 5.916 Å, α = 90.00°, β = 112.73° and γ = 90.00°. Symmetry generates all atoms from Ce at (0.000, 0.214, 0.000), Dy at (0.230, 0.000, 0.088), Er at (0.000, 0.000, 0.500), Er at (0.093, 0.500, 0.306) and Er at (0.172, 0.237, 0.672).

***

(3)
Here is an optimized crystal structure of CeDy2Er from Alexandria. Energies are from PBE.

As for the relative energy among the computed polymorphs: 10 meV/atom. For the magnetic moment, the calculation gives 0.46 μB per formula unit. As for the calculated formation energy: 0.065 eV/atom.

It has space group P4/mmm (No. 123), with a = 4.974 Å, b = 4.974 Å, c = 4.984 Å, α = 90.00°, β = 90.00° and γ = 90.00°. Symmetry generates all atoms from Ce at (0.000, 0.000, 0.000), Dy at (0.000, 0.500, 0.500) and Er at (0.500, 0.500, 0.000).

***

(4)
Here is an optimized crystal structure of CeDy2Er from Alexandria. Energies are from PBE.

As for the relative energy among the computed polymorphs: 0 meV/atom. For the magnetic moment, the calculation gives 0.75 μB per formula unit. As for the calculated formation energy: 0.055 eV/atom.

It has space group R3m (No. 160, hexagonal axes), with a = 3.5188 Å, b = 3.5188 Å, c = 34.4456 Å, α = 90.00°, β = 90.00° and γ = 120.00°. Symmetry generates all atoms from Ce at (0.0000, 0.0000, 0.0000), Dy at (0.0000, 0.0000, 0.5821), Dy at (0.0000, 0.0000, 0.7497) and Er at (0.0000, 0.0000, 0.1656).